! Lu2PtC PBE relaxed; values from VASP
! ΔH_f (0 K) (eV per atom): -0.71
! Calculated density (g cm⁻³): 12.61
! D(E_F) (states/eV/atom): 0.054
! Space-group type: No. 166
! Total DFT energy (no corrections) (eV/atom): -6.786
&SYSTEM
  ibrav = 0, nat = 4, ntyp = 3
/
ATOMIC_SPECIES
Lu 174.97 Lu.upf
C 12.01 C.upf
Pt 195.08 Pt.upf
CELL_PARAMETERS angstrom
-0.4768 -3.4802 -0.7408
1.6577 -2.4988 1.9738
-4.7419 -2.1620 4.5104
ATOMIC_POSITIONS crystal
Lu 0.7671 0.7671 0.6988
C 0.5000 0.5000 0.5000
Pt 0.0000 0.0000 0.0000
Lu 0.2329 0.2329 0.3012

---

! YMnSe2 PBE relaxed; values from VASP
! Formation energy without anion corrections (eV/atom): -0.567
! Calculated density (g cm⁻³): 5.08
! D(E_F) (states/eV/atom): 1.347
! Space-group type: No. 122
! Total DFT energy (no corrections) (eV/atom): -6.218
&SYSTEM
  ibrav = 0, nat = 8, ntyp = 3
/
ATOMIC_SPECIES
Mn 54.94 Mn.upf
Se 78.96 Se.upf
Y 88.91 Y.upf
CELL_PARAMETERS angstrom
-2.0445 0.5890 5.1668
4.0081 -3.3588 1.9689
4.7309 3.6238 4.4804
ATOMIC_POSITIONS crystal
Mn 0.2500 0.7500 0.5000
Se 0.1948 0.6250 0.2500
Se 0.3750 0.4448 0.7500
Se 0.5552 0.1250 0.2500
Mn 0.5000 0.5000 0.0000
Y 0.7500 0.2500 0.5000
Y 0.0000 0.0000 0.0000
Se 0.8750 0.8052 0.7500

---

! CdNi PBE relaxed; values from VASP
! ΔH_f (0 K) (eV per atom): 0.08
! Calculated density (g cm⁻³): 8.97
! D(E_F) (states/eV/atom): 1.130
! Space-group type: No. 129
! Total DFT energy (no corrections) (eV/atom): -3.267
&SYSTEM
  ibrav = 0, nat = 4, ntyp = 2
/
ATOMIC_SPECIES
Cd 112.41 Cd.upf
Ni 58.69 Ni.upf
CELL_PARAMETERS angstrom
2.9689 0.0000 0.0000
0.0000 2.9689 0.0000
0.0000 0.0000 7.1910
ATOMIC_POSITIONS crystal
Cd 0.7500 0.7500 0.8295
Cd 0.2500 0.2500 0.1705
Ni 0.7500 0.7500 0.4140
Ni 0.2500 0.2500 0.5860

---

! SrCe2N3 PBE relaxed; values from VASP
! Formation energy without anion corrections (eV/atom): -1.284
! Calculated density (g cm⁻³): 6.67
! D(E_F) (states/eV/atom): 0.728
! Space-group type: No. 194
! Total DFT energy (no corrections) (eV/atom): -7.705
&SYSTEM
  ibrav = 0, nat = 12, ntyp = 3
/
ATOMIC_SPECIES
Sr 87.62 Sr.upf
Ce 140.12 Ce.upf
N 14.01 N.upf
CELL_PARAMETERS angstrom
-2.2457 0.0838 2.8388
1.7248 -3.0668 -0.8539
13.6622 4.7136 10.6686
ATOMIC_POSITIONS crystal
Sr 0.0000 0.0000 0.2500
Ce 0.3333 0.6667 0.5826
Ce 0.3333 0.6667 0.9174
N 0.3333 0.6667 0.1502
Sr 0.0000 0.0000 0.7500
N 0.6667 0.3333 0.8498
N 0.3333 0.6667 0.3498
Ce 0.6667 0.3333 0.4174
N 0.0000 0.0000 0.0000
N 0.0000 0.0000 0.5000
N 0.6667 0.3333 0.6502
Ce 0.6667 0.3333 0.0826

---

! Pm2InSi3Rh4 PBE relaxed; values from VASP
! Formation energy without anion corrections (eV/atom): -0.899
! Calculated density (g cm⁻³): 8.25
! D(E_F) (states/eV/atom): 0.611
! Space-group type: No. 115
! Total DFT energy (no corrections) (eV/atom): -6.691
&SYSTEM
  ibrav = 0, nat = 10, ntyp = 4
/
ATOMIC_SPECIES
Si 28.09 Si.upf
Rh 102.91 Rh.upf
Pm 145.00 Pm.upf
In 114.82 In.upf
CELL_PARAMETERS angstrom
-2.8105 1.8023 2.5612
-0.7898 -3.7380 1.7638
7.3777 1.6975 6.9011
ATOMIC_POSITIONS crystal
Si 0.0000 0.0000 0.5000
Rh 0.5000 0.5000 0.0000
Si 0.0000 0.5000 0.1214
Rh 0.5000 0.0000 0.6497
Si 0.5000 0.0000 0.8786
Pm 0.0000 0.5000 0.7552
Pm 0.5000 0.0000 0.2448
Rh 0.0000 0.5000 0.3503
Rh 0.0000 0.0000 0.0000
In 0.5000 0.5000 0.5000

---

! La2Cr2Pt PBE relaxed; values from VASP
! ΔH_f (0 K) (eV per atom): 0.53
! Calculated density (g cm⁻³): 8.21
! D(E_F) (states/eV/atom): 1.439
! Space-group type: No. 127
! Distance to the lowest polymorph of the same formula (meV/atom): 491.4
! Total DFT energy (no corrections) (eV/atom): -6.499
&SYSTEM
  ibrav = 0, nat = 10, ntyp = 3
/
ATOMIC_SPECIES
Pt 195.08 Pt.upf
La 138.91 La.upf
Cr 52.00 Cr.upf
CELL_PARAMETERS angstrom
8.4684 0.0000 0.0000
0.0000 8.4684 0.0000
0.0000 0.0000 3.2545
ATOMIC_POSITIONS crystal
Pt 0.5000 0.5000 0.0000
Pt 0.0000 0.0000 0.0000
La 0.7929 0.7071 0.0000
La 0.2929 0.7929 0.0000
Cr 0.0770 0.5770 0.5000
La 0.2071 0.2929 0.0000
Cr 0.4230 0.0770 0.5000
Cr 0.9230 0.4230 0.5000
La 0.7071 0.2071 0.0000
Cr 0.5770 0.9230 0.5000